Computed, not measured: a relaxed ScSi4Cl crystal at the GGA-PBE level of DFT.

## Properties
total DFT energy (no corrections) = -30.29 eV/f.u.
raw formation energy = -0.070 eV/atom

abc: 5.180 5.180 5.180
angles: 60.00 60.00 60.00
Positions (direct):
Sc 0.000 0.000 0.000
Si 0.132 0.623 0.623
Si 0.623 0.132 0.623
Si 0.623 0.623 0.132
Si 0.623 0.623 0.623
Cl 0.250 0.250 0.250



Computed, not measured: a relaxed InTe2W crystal at the GGA-PBE level of DFT.

## Properties
total DFT energy (no corrections) = -18.41 eV/f.u.
raw formation energy = 0.891 eV/atom

abc: 6.108 11.011 2.948
angles: 90.00 103.50 90.00
Positions (direct):
In 0.000 0.000 0.000
In 0.500 0.500 0.000
Te 0.250 0.250 0.000
Te 0.250 0.750 0.000
Te 0.750 0.250 0.000
Te 0.750 0.750 0.000
W 0.000 0.500 0.000
W 0.500 0.000 0.000



Computed, not measured: a relaxed Sm2Tm3Sc7 crystal at the GGA-PBE level of DFT.

## Properties
total DFT energy (no corrections) = -65.91 eV/f.u.
DFT formation energy = 0.1054 eV/atom

abc: 5.436 3.432 17.698
angles: 90.00 93.05 90.00
Positions (direct):
Sm 0.208 0.000 0.290
Sm 0.792 0.000 0.710
Tm 0.000 0.000 0.000
Tm 0.276 0.500 0.628
Tm 0.724 0.500 0.372
Sc 0.194 0.500 0.140
Sc 0.243 0.000 0.462
Sc 0.305 0.000 0.829
Sc 0.500 0.500 0.000
Sc 0.695 0.000 0.171
Sc 0.757 0.000 0.538
Sc 0.806 0.500 0.860



Computed, not measured: a relaxed PmPaSbI crystal at the GGA-PBE level of DFT.

## Properties
total DFT energy (no corrections) = -22.08 eV/f.u.
raw formation energy = -0.541 eV/atom

abc: 7.615 7.615 7.615
angles: 90.00 90.00 90.00
Positions (direct):
Pm 0.000 0.000 0.000
Pm 0.000 0.500 0.500
Pm 0.500 0.000 0.500
Pm 0.500 0.500 0.000
Pa 0.000 0.000 0.500
Pa 0.000 0.500 0.000
Pa 0.500 0.000 0.000
Pa 0.500 0.500 0.500
Sb 0.250 0.250 0.750
Sb 0.250 0.750 0.250
Sb 0.750 0.250 0.250
Sb 0.750 0.750 0.750
I 0.250 0.250 0.250
I 0.250 0.750 0.750
I 0.750 0.250 0.750
I 0.750 0.750 0.250



Computed, not measured: a relaxed RbHf2Mo crystal at the GGA-PBE level of DFT.

## Properties
total DFT energy (no corrections) = -26.80 eV/f.u.
DFT formation energy = 1.2261 eV/atom

abc: 7.089 7.089 7.089
angles: 90.00 90.00 90.00
Positions (direct):
Rb 0.000 0.000 0.000
Rb 0.000 0.500 0.500
Rb 0.500 0.000 0.500
Rb 0.500 0.500 0.000
Hf 0.250 0.250 0.250
Hf 0.250 0.250 0.750
Hf 0.250 0.750 0.250
Hf 0.250 0.750 0.750
Hf 0.750 0.250 0.250
Hf 0.750 0.250 0.750
Hf 0.750 0.750 0.250
Hf 0.750 0.750 0.750
Mo 0.000 0.000 0.500
Mo 0.000 0.500 0.000
Mo 0.500 0.000 0.000
Mo 0.500 0.500 0.500



Computed, not measured: a relaxed LaZn2Au crystal at the GGA-PBE level of DFT.

## Properties
total DFT energy (no corrections) = -12.49 eV/f.u.
DFT formation energy = -0.4335 eV/atom

abc: 7.786 4.483 5.639
angles: 90.00 117.14 90.00
Positions (direct):
La 0.000 0.000 0.000
La 0.500 0.500 0.000
Zn 0.212 0.000 0.637
Zn 0.288 0.500 0.363
Zn 0.712 0.500 0.637
Zn 0.788 0.000 0.363
Au 0.000 0.500 0.500
Au 0.500 0.000 0.500